Record 1
A plane-wave DFT calculation with PBE-GGA was carried out for crystalline Mg5CdAg6 at its relaxed geometry.

Output
mass density: 6.6 g/cm³
ΔE_f: -0.217 eV per atom
total magnetization: 0.000 μB/cell
density of states at the Fermi level: 5.704 states/eV/cell

a = 8.1189 Å, b = 14.2254 Å, c = 4.7395 Å
α = 90.00°, β = 125.38°, γ = 90.00°
Space group C2/m (No. 12)
Asymmetric unit:
1 Mg 0.0000 0.0000 0.0000 x2
2 Mg 0.0000 0.1681 0.5000 x4
3 Mg 0.0000 0.3364 0.0000 x4
4 Cd 0.0000 0.5000 0.5000 x2
5 Ag 0.2385 0.0000 0.7379 x4
6 Ag 0.2447 0.1697 0.2437 x8

Record 2
A plane-wave DFT calculation with PBE-GGA was carried out for crystalline Mg2CdAg4 at its relaxed geometry.

Output
mass density: 6.5 g/cm³
ΔE_f: -0.016 eV per atom
total magnetization: 0.000 μB/cell
density of states at the Fermi level: 5.599 states/eV/cell

a = 3.9869 Å, b = 3.9869 Å, c = 19.1405 Å
α = 90.00°, β = 90.00°, γ = 90.00°
Space group I4/mmm (No. 139)
Asymmetric unit:
1 Mg 0.0000 0.0000 0.1247 x4
2 Cd 0.0000 0.0000 0.5000 x2
3 Ag 0.0000 0.0000 0.3591 x4
4 Ag 0.0000 0.5000 0.2500 x4

Record 3
A plane-wave DFT calculation with PBE-GGA was carried out for crystalline MgCdAg14 at its relaxed geometry.

Output
mass density: 9.4 g/cm³
ΔE_f: -0.025 eV per atom
total magnetization: 0.000 μB/cell
density of states at the Fermi level: 6.832 states/eV/cell

a = 9.6002 Å, b = 5.9246 Å, c = 10.1791 Å
α = 90.00°, β = 90.00°, γ = 90.00°
Space group Amm2 (No. 38)
Asymmetric unit:
1 Mg 0.0000 0.0000 0.0000 x2
2 Cd 0.0000 0.0000 0.5001 x2
3 Ag 0.0000 0.2498 0.2492 x4
4 Ag 0.2505 0.0000 0.8318 x4
5 Ag 0.2513 0.2485 0.0815 x8
6 Ag 0.2516 0.0000 0.3310 x4
7 Ag 0.5000 0.0000 0.1638 x2
8 Ag 0.5000 0.0000 0.6637 x2
9 Ag 0.5000 0.2501 0.4140 x4

Please write out number 2 again, unchanged.
A plane-wave DFT calculation with PBE-GGA was carried out for crystalline Mg2CdAg4 at its relaxed geometry.

Output
mass density: 6.5 g/cm³
ΔE_f: -0.016 eV per atom
total magnetization: 0.000 μB/cell
density of states at the Fermi level: 5.599 states/eV/cell

a = 3.9869 Å, b = 3.9869 Å, c = 19.1405 Å
α = 90.00°, β = 90.00°, γ = 90.00°
Space group I4/mmm (No. 139)
Asymmetric unit:
1 Mg 0.0000 0.0000 0.1247 x4
2 Cd 0.0000 0.0000 0.5000 x2
3 Ag 0.0000 0.0000 0.3591 x4
4 Ag 0.0000 0.5000 0.2500 x4